Below is crystalline SrLiTcN2 at its relaxed geometry, with properties calculated at the PBE level.

a b c (Å): 11.221 3.549 7.257
angles (deg): 90.00 103.89 90.00
Space group C2/m (No. 12)
Unique sites:
Sr 0.142 0.000 0.142 x4
Li 0.182 0.000 0.543 x4
Tc 0.051 0.500 0.683 x4
N 0.112 0.000 0.775 x4
N 0.126 0.500 0.411 x4

E_form (uncorrected) in eV/atom: -0.38
M_tot in Bohr magnetons per cell: 0.00
Density of states at the Fermi level in states/eV per cell: 8.93
Raw total energy in eV per cell: -130.054

***

Below is crystalline PmTl2RuO8 at its relaxed geometry, with properties calculated at the PBE level.

a b c (Å): 5.078 5.143 6.777
angles (deg): 90.15 90.18 91.27
Space group P-1 (No. 2)
Unique sites:
Pm 0.000 0.000 0.000 x1
Tl 0.498 0.498 0.746 x2
Ru 0.000 0.000 0.500 x1
O 0.191 0.835 0.296 x2
O 0.192 0.837 0.704 x2
O 0.261 0.291 0.500 x2
O 0.290 0.331 0.002 x2

E_form (uncorrected) in eV/atom: -1.12
M_tot in Bohr magnetons per cell: 0.96
Density of states at the Fermi level in states/eV per cell: 5.59
Raw total energy in eV per cell: -71.813

***

Below is crystalline Nd3Dy2Ru2 at its relaxed geometry, with properties calculated at the PBE level.

a b c (Å): 3.962 6.420 8.611
angles (deg): 68.32 89.94 72.05
Space group P-1 (No. 2)
Unique sites:
Nd 0.000 0.000 0.000 x1
Nd 0.120 0.761 0.428 x2
Dy 0.330 0.341 0.184 x2
Ru 0.316 0.366 0.779 x2

Energy of formation in eV per atom: -0.236
M_tot in Bohr magnetons per cell: 0.00
Density of states at the Fermi level in states/eV per cell: 5.35
Raw total energy in eV per cell: -43.710

***

Copy entry 3 word for word.
Below is crystalline Nd3Dy2Ru2 at its relaxed geometry, with properties calculated at the PBE level.

a b c (Å): 3.962 6.420 8.611
angles (deg): 68.32 89.94 72.05
Space group P-1 (No. 2)
Unique sites:
Nd 0.000 0.000 0.000 x1
Nd 0.120 0.761 0.428 x2
Dy 0.330 0.341 0.184 x2
Ru 0.316 0.366 0.779 x2

Energy of formation in eV per atom: -0.236
M_tot in Bohr magnetons per cell: 0.00
Density of states at the Fermi level in states/eV per cell: 5.35
Raw total energy in eV per cell: -43.710

***

Among the records above, which one has the lowest density of states at the Fermi level? Nd3Dy2Ru2